CsBOF2 after structural relaxation. Source: the Alexandria database, functional PBE-GGA.

Unit cell a=5.169 b=5.169 c=4.345 alpha=90.00 beta=90.00 gamma=90.00
Sites, in units of the cell vectors:
Cs 0.000 0.000 0.000
B 0.500 0.500 0.500
O 0.000 0.000 0.500
F 0.000 0.500 0.000
F 0.500 0.000 0.000

Results
Electronic total energy ... -2.790 eV/atom
Volume ... 23.223 A^3/atom
ΔE_f (raw) ... 10.5 kcal/mol of atoms
Symmetry ... No. 123
Total moment ... 0.000 μB/f.u.
Distance to the lowest polymorph of the same formula ... 46.19 kcal/mol of atoms

Cs2BPF after structural relaxation. Source: the Alexandria database, functional PBE-GGA.

Unit cell a=6.642 b=6.642 c=3.647 alpha=90.00 beta=90.00 gamma=90.00
Sites, in units of the cell vectors:
Cs 0.000 0.500 0.000
Cs 0.500 0.000 0.000
B 0.000 0.000 0.500
P 0.000 0.000 0.000
F 0.500 0.500 0.500

Results
Electronic total energy ... -3.725 eV/atom
Volume ... 32.173 A^3/atom
ΔE_f (raw) ... -13.6 kcal/mol of atoms
Symmetry ... No. 123
Total moment ... 0.000 μB/f.u.

CsB3PbF12 after structural relaxation. Source: the Alexandria database, functional PBE-GGA.

Unit cell a=6.729 b=6.729 c=6.850 alpha=95.59 beta=95.59 gamma=91.71
Sites, in units of the cell vectors:
Cs 0.000 0.000 0.000
B 0.003 0.438 0.579
B 0.438 0.003 0.579
B 0.539 0.539 0.018
Pb 0.544 0.544 0.454
F 0.042 0.350 0.752
F 0.179 0.466 0.483
F 0.321 0.862 0.442
F 0.350 0.042 0.752
F 0.352 0.590 0.081
F 0.466 0.179 0.483
F 0.534 0.534 0.810
F 0.590 0.352 0.081
F 0.629 0.916 0.618
F 0.685 0.685 0.111
F 0.862 0.321 0.442
F 0.916 0.629 0.618

Results
Electronic total energy ... -5.619 eV/atom
Volume ... 18.058 A^3/atom
ΔE_f (raw) ... -65.8 kcal/mol of atoms
Symmetry ... No. 8
Total moment ... 0.000 μB/f.u.

CsBPdF6 after structural relaxation. Source: the Alexandria database, functional PBE-GGA.

Unit cell a=5.280 b=5.280 c=6.306 alpha=90.00 beta=90.00 gamma=120.00
Sites, in units of the cell vectors:
Cs 0.000 0.000 0.000
B 0.667 0.333 0.500
Pd 0.333 0.667 0.500
F 0.416 0.077 0.652
F 0.416 0.338 0.348
F 0.662 0.077 0.348
F 0.662 0.584 0.652
F 0.923 0.338 0.652
F 0.923 0.584 0.348

Results
Electronic total energy ... -4.638 eV/atom
Volume ... 16.919 A^3/atom
ΔE_f (raw) ... -45.6 kcal/mol of atoms
Symmetry ... No. 149
Total moment ... 1.996 μB/f.u.

CsB2PdF8 after structural relaxation. Source: the Alexandria database, functional PBE-GGA.

Unit cell a=8.682 b=8.682 c=8.682 alpha=35.69 beta=35.69 gamma=35.69
Sites, in units of the cell vectors:
Cs 0.000 0.000 0.000
B 0.244 0.244 0.244
B 0.756 0.756 0.756
Pd 0.500 0.500 0.500
F 0.024 0.519 0.782
F 0.218 0.976 0.481
F 0.302 0.302 0.302
F 0.481 0.218 0.976
F 0.519 0.782 0.024
F 0.698 0.698 0.698
F 0.782 0.024 0.519
F 0.976 0.481 0.218

Results
Electronic total energy ... -5.382 eV/atom
Volume ... 16.596 A^3/atom
ΔE_f (raw) ... -58.1 kcal/mol of atoms
Symmetry ... No. 148
Total moment ... 1.000 μB/f.u.

Cs2RbBF6 after structural relaxation. Source: the Alexandria database, functional PBE-GGA.

Unit cell a=6.274 b=6.274 c=6.274 alpha=60.00 beta=60.00 gamma=60.00
Sites, in units of the cell vectors:
Cs 0.250 0.250 0.250
Cs 0.750 0.750 0.750
Rb 0.000 0.000 0.000
B 0.500 0.500 0.500
F 0.313 0.313 0.687
F 0.313 0.687 0.313
F 0.313 0.687 0.687
F 0.687 0.313 0.313
F 0.687 0.313 0.687
F 0.687 0.687 0.313

Results
Electronic total energy ... -4.621 eV/atom
Volume ... 17.462 A^3/atom
ΔE_f (raw) ... -59.1 kcal/mol of atoms
Symmetry ... No. 225
Total moment ... 0.124 μB/f.u.

CsRbB2F8 after structural relaxation. Source: the Alexandria database, functional PBE-GGA.

Unit cell a=5.467 b=5.467 c=9.155 alpha=90.00 beta=90.00 gamma=120.00
Sites, in units of the cell vectors:
Cs 0.000 0.000 0.000
Rb 0.000 0.000 0.500
B 0.333 0.667 0.765
B 0.667 0.333 0.235
F 0.102 0.411 0.714
F 0.309 0.898 0.714
F 0.333 0.667 0.920
F 0.411 0.309 0.286
F 0.589 0.691 0.714
F 0.667 0.333 0.080
F 0.691 0.102 0.286
F 0.898 0.589 0.286

Results
Electronic total energy ... -5.527 eV/atom
Volume ... 19.749 A^3/atom
ΔE_f (raw) ... -69.5 kcal/mol of atoms
Symmetry ... No. 147
Total moment ... 0.363 μB/f.u.

Q: Number 7 is which compound?
A: CsRbB2F8